A plane-wave DFT calculation with PBE with a Hubbard U was carried out for a relaxed K2NpFeO6 crystal.

As for the volume: 138 Å³ per cell. The total energy is -71.636 eV per formula unit. The space group is Fm-3m, No. 225.

```
10
Lattice="0.000 4.097 4.097 4.097 0.000 4.097 4.097 4.097 0.000" Properties=species:S:1:pos:R:3 pbc="T T T"
K 2.048 2.048 2.048
K 6.145 6.145 6.145
Np 0.000 0.000 0.000
Fe 4.097 4.097 4.097
O 4.097 4.097 2.035
O 4.097 2.035 4.097
O 6.159 4.097 4.097
O 2.035 4.097 4.097
O 4.097 6.159 4.097
O 4.097 4.097 6.159
```